(1)
Entry from Alexandria via LeMat-Bulk: a geometry-optimized PmMn2Cl8 structure (GGA-PBE).

Calculated values
- size of the total moment (μB/f.u.) = 9.00
- raw formation energy (eV/atom) = -1.37
- energy above the most stable polymorph in this dataset (eV/f.u.) = 0.000
- E (eV for the cell shown) = -105.9

Geometry as CIF:
```
data_PmMn2Cl8
_chemical_formula_sum 'Pm2 Mn4 Cl16'
_cell_length_a 13.196
_cell_length_b 8.574
_cell_length_c 6.605
_cell_angle_alpha 90.00
_cell_angle_beta 101.72
_cell_angle_gamma 90.00
_space_group_name_H-M_alt 'C 1 2/m 1'
_space_group_IT_number 12
_space_group_name_Hall '-C 2y'
loop_
_atom_site_label
_atom_site_fract_x
_atom_site_fract_y
_atom_site_fract_z
_atom_site_occupancy
Pm1 0.000 0.000 0.000 1
Mn1 0.193 0.000 0.670 1
Cl1 0.100 0.203 0.783 1
Cl2 0.139 0.500 0.218 1
Cl3 0.173 0.000 0.310 1
```



(2)
Entry from Alexandria via LeMat-Bulk: a geometry-optimized PmMnCl6 structure (GGA-PBE).

Calculated values
- size of the total moment (μB/f.u.) = 4.00
- raw formation energy (eV/atom) = -1.52
- E (eV for the cell shown) = -37.2

Geometry as CIF:
```
data_PmMnCl6
_chemical_formula_sum 'Pm1 Mn1 Cl6'
_cell_length_a 6.393
_cell_length_b 6.396
_cell_length_c 6.886
_cell_angle_alpha 62.33
_cell_angle_beta 65.64
_cell_angle_gamma 63.33
_space_group_name_H-M_alt 'P -1'
_space_group_IT_number 2
_space_group_name_Hall '-P 1'
loop_
_atom_site_label
_atom_site_fract_x
_atom_site_fract_y
_atom_site_fract_z
_atom_site_occupancy
Pm1 0.000 0.000 0.000 1
Mn1 0.500 0.500 0.500 1
Cl1 0.112 0.737 0.743 1
Cl2 0.278 0.568 0.270 1
Cl3 0.422 0.127 0.730 1
```



(3)
Entry from Alexandria via LeMat-Bulk: a geometry-optimized PmMn2Cl8 structure (GGA-PBE).

Calculated values
- size of the total moment (μB/f.u.) = 9.00
- raw formation energy (eV/atom) = -1.32
- energy above the most stable polymorph in this dataset (eV/f.u.) = 0.598
- E (eV for the cell shown) = -104.7

Geometry as CIF:
```
data_PmMn2Cl8
_chemical_formula_sum 'Pm2 Mn4 Cl16'
_cell_length_a 19.436
_cell_length_b 3.522
_cell_length_c 9.681
_cell_angle_alpha 90.00
_cell_angle_beta 92.44
_cell_angle_gamma 90.00
_space_group_name_H-M_alt 'C 1 2/m 1'
_space_group_IT_number 12
_space_group_name_Hall '-C 2y'
loop_
_atom_site_label
_atom_site_fract_x
_atom_site_fract_y
_atom_site_fract_z
_atom_site_occupancy
Pm1 0.000 0.000 0.000 1
Mn1 0.168 0.500 0.691 1
Cl1 0.040 0.500 0.196 1
Cl2 0.104 0.000 0.570 1
Cl3 0.131 0.000 0.905 1
Cl4 0.245 0.500 0.303 1
```



(4)
Entry from Alexandria via LeMat-Bulk: a geometry-optimized RbPmMnCl6 structure (GGA-PBE).

Calculated values
- size of the total moment (μB/f.u.) = 0.93
- raw formation energy (eV/atom) = -1.57
- E (eV for the cell shown) = -80.2

Geometry as CIF:
```
data_RbPmMnCl6
_chemical_formula_sum 'Rb2 Pm2 Mn2 Cl12'
_cell_length_a 6.6049
_cell_length_b 6.6049
_cell_length_c 14.9490
_cell_angle_alpha 90.00
_cell_angle_beta 90.00
_cell_angle_gamma 120.00
_space_group_name_H-M_alt 'P -3 1 c'
_space_group_IT_number 163
_space_group_name_Hall '-P 3 2c'
loop_
_atom_site_label
_atom_site_fract_x
_atom_site_fract_y
_atom_site_fract_z
_atom_site_occupancy
Rb1 0.0000 0.0000 0.0000 1
Pm1 0.3333 0.6667 0.2500 1
Mn1 0.3333 0.6667 0.7500 1
Cl1 0.0404 0.3846 0.6534 1
```



(5)
Entry from Alexandria via LeMat-Bulk: a geometry-optimized PrMnCl structure (GGA-PBE).

Calculated values
- size of the total moment (μB/f.u.) = 0.46
- raw formation energy (eV/atom) = -0.74
- E (eV for the cell shown) = -72.1

Geometry as CIF:
```
data_PrMnCl
_chemical_formula_sum 'Pr4 Mn4 Cl4'
_cell_length_a 4.192
_cell_length_b 16.225
_cell_length_c 3.903
_cell_angle_alpha 90.00
_cell_angle_beta 90.00
_cell_angle_gamma 90.00
_space_group_name_H-M_alt 'C m c m'
_space_group_IT_number 63
_space_group_name_Hall '-C 2c 2'
loop_
_atom_site_label
_atom_site_fract_x
_atom_site_fract_y
_atom_site_fract_z
_atom_site_occupancy
Pr1 0.000 0.103 0.250 1
Mn1 0.000 0.470 0.250 1
Cl1 0.000 0.317 0.250 1
```



(6)
Entry from Alexandria via LeMat-Bulk: a geometry-optimized Pr2MnCl structure (GGA-PBE).

Calculated values
- size of the total moment (μB/f.u.) = 2.99
- raw formation energy (eV/atom) = -0.14
- E (eV for the cell shown) = -63.3

Geometry as CIF:
```
data_Pr2MnCl
_chemical_formula_sum 'Pr6 Mn3 Cl3'
_cell_length_a 3.4463
_cell_length_b 3.4463
_cell_length_c 31.2911
_cell_angle_alpha 90.00
_cell_angle_beta 90.00
_cell_angle_gamma 120.00
_space_group_name_H-M_alt 'R -3 m'
_space_group_IT_number 166
_space_group_name_Hall '-R 3 2"'
loop_
_atom_site_label
_atom_site_fract_x
_atom_site_fract_y
_atom_site_fract_z
_atom_site_occupancy
Pr1 0.0000 0.0000 0.0922 1
Mn1 0.0000 0.0000 0.0000 1
Cl1 0.0000 0.0000 0.5000 1
```